1.
The following is a DFT calculation (GGA-PBE) of crystalline CaMgFe2 at its relaxed geometry.

Computed properties:
raw total energy: -4.679 eV per atom
calculated density: 3764 kg/m³
magnetic moment: 4.777 μB/f.u.
symmetry: P4/mmm
ΔE_f: 43.59 kJ per mole of atoms
crystal system: tetragonal

Structure (POSCAR):
```
CaMgFe2
1.0
-1.356 2.844 -1.442
-3.019 -0.640 1.575
1.917 3.497 5.095
Ca Fe Mg
1 2 1
Direct
0.500 0.500 0.750 Ca
0.000 0.000 0.075 Fe
0.000 0.000 0.425 Fe
0.500 0.500 0.250 Mg
```

2.
The following is a DFT calculation (GGA-PBE) of crystalline AlSnPb2 at its relaxed geometry.

Computed properties:
raw total energy: -3.613 eV per atom
calculated density: 8473 kg/m³
magnetic moment: 0.000 μB/f.u.
symmetry: P4/mmm
ΔE_f: 17.09 kJ per mole of atoms
crystal system: tetragonal

Structure (POSCAR):
```
AlSnPb2
1.0
-0.868 -2.709 -2.410
-1.449 -2.013 2.784
-7.039 3.356 -1.236
Pb Sn Al
2 1 1
Direct
0.000 0.000 0.775 Pb
0.000 0.000 0.225 Pb
0.500 0.500 0.500 Sn
0.500 0.500 0.000 Al
```

3.
The following is a DFT calculation (GGA-PBE) of crystalline GaSbMo3 at its relaxed geometry.

Computed properties:
raw total energy: -5.990 eV per atom
formation energy without anion corrections: 1938 meV/atom
calculated density: 6793 kg/m³
magnetic moment: 0.000 μB/f.u.
symmetry: Pm-3m
crystal system: cubic
offset from the most stable computed form: 588.4 meV per atom

Structure (POSCAR):
```
GaSbMo3
1.0
-0.686 4.220 2.380
-0.320 -2.438 4.231
4.834 0.438 0.618
Sb Mo Ga
1 3 1
Direct
0.000 0.000 0.000 Sb
0.000 0.500 0.000 Mo
0.000 0.000 0.500 Mo
0.500 0.000 0.000 Mo
0.500 0.500 0.500 Ga
```

What did the second record say?
The following is a DFT calculation (GGA-PBE) of crystalline AlSnPb2 at its relaxed geometry.

Computed properties:
raw total energy: -3.613 eV per atom
calculated density: 8473 kg/m³
magnetic moment: 0.000 μB/f.u.
symmetry: P4/mmm
ΔE_f: 17.09 kJ per mole of atoms
crystal system: tetragonal

Structure (POSCAR):
```
AlSnPb2
1.0
-0.868 -2.709 -2.410
-1.449 -2.013 2.784
-7.039 3.356 -1.236
Pb Sn Al
2 1 1
Direct
0.000 0.000 0.775 Pb
0.000 0.000 0.225 Pb
0.500 0.500 0.500 Sn
0.500 0.500 0.000 Al
```